Zn2CuWO6 GGA+U optimized geometry; space-group type = P1; M_tot = 1.00 μB per formula unit; polymorph energy (0 for the lowest one) = 0 meV/atom
1.0
4.9435 -0.0148 0.0102
0.0005 5.3918 -0.0300
-2.3499 -2.3035 4.4175
Cu O Zn W
1 6 2 1
Cartesian
0.0702 0.3185 4.3218
1.3732 1.0946 0.5444
1.1373 1.7316 3.5209
3.3419 2.6543 2.6091
3.9726 -0.0650 1.5752
1.4650 -0.9238 3.5480
0.9435 3.7326 0.5918
0.2548 3.1259 2.3217
2.3211 0.5748 2.3299
2.5892 2.9965 4.3575